# 1
IrOs2CS | the Alexandria database | PBE | optimized geometry; E_tot = -38.31 eV for the cell shown; formation energy without anion corrections = 1.27 eV per atom; space-group type = P4/mmm (123)
1.0
3.986 0.000 0.000
0.000 3.986 0.000
0.000 0.000 4.281
Ir Os C S
1 2 1 1
Direct
0.000 0.000 0.000 Ir
0.000 0.500 0.500 Os
0.500 0.000 0.500 Os
0.500 0.500 0.500 C
0.500 0.500 0.000 S

---

# 2
Sc2IrOsC | the Alexandria database | PBE | optimized geometry; E_tot = -44.38 eV for the cell shown; E_form = -0.481 eV per atom; space-group type = P4/mmm (123)
1.0
4.497 0.000 0.000
0.000 4.497 0.000
0.000 0.000 3.839
Sc Ir Os C
2 1 1 1
Direct
0.000 0.500 0.000 Sc
0.500 0.000 0.000 Sc
0.000 0.000 0.500 Ir
0.500 0.500 0.500 Os
0.500 0.500 0.000 C

---

# 3
SiIrOs2C | the Alexandria database | PBE | optimized geometry; E_tot = -43.00 eV for the cell shown; formation energy without anion corrections = 0.59 eV per atom; space-group type = P4/mmm (123)
1.0
4.065 0.000 0.000
0.000 4.065 0.000
0.000 0.000 4.014
Si Ir Os C
1 1 2 1
Direct
0.000 0.000 0.000 Si
0.500 0.500 0.000 Ir
0.000 0.500 0.500 Os
0.500 0.000 0.500 Os
0.500 0.500 0.500 C

---

# 4
YIrOsC2 | the Alexandria database | PBE | optimized geometry; E_tot = -38.44 eV for the cell shown; E_form = 1.312 eV per atom; space-group type = P4/mmm (123)
1.0
3.944 0.000 0.000
0.000 3.944 0.000
0.000 0.000 5.364
Y Ir Os C
1 1 1 2
Direct
0.000 0.000 0.000 Y
0.500 0.500 0.500 Ir
0.500 0.500 0.000 Os
0.000 0.500 0.500 C
0.500 0.000 0.500 C

---

# 5
Y2IrOsC | the Alexandria database | PBE | optimized geometry; E_tot = -44.02 eV for the cell shown; E_form = -0.355 eV per atom; space-group type = P4/mmm (123)
1.0
4.888 0.000 0.000
0.000 4.888 0.000
0.000 0.000 3.859
Y Ir Os C
2 1 1 1
Direct
0.000 0.500 0.000 Y
0.500 0.000 0.000 Y
0.000 0.000 0.500 Ir
0.500 0.500 0.500 Os
0.500 0.500 0.000 C

---

# 6
PIrC2 | the Alexandria database | PBE | optimized geometry; E_tot = -61.66 eV for the cell shown; E_form = 0.472 eV per atom; space-group type = I-42d (122)
1.0
-2.295 2.295 4.131
2.295 -2.295 4.131
2.295 2.295 -4.131
P Ir C
2 2 4
Direct
0.000 0.000 0.000 P
0.750 0.250 0.500 P
0.250 0.750 0.500 Ir
0.500 0.500 0.000 Ir
0.076 0.625 0.951 C
0.375 0.326 0.451 C
0.674 0.125 0.049 C
0.875 0.924 0.549 C

---

# 7
PIrC | the Alexandria database | PBE | optimized geometry; E_tot = -22.27 eV for the cell shown; relative energy among the computed polymorphs = 234 meV per atom; E_form = 0.408 eV per atom; space-group type = P1 (1)
1.0
2.899 0.000 0.000
-1.427 3.443 0.000
-0.020 -1.027 4.139
P Ir C
1 1 1
Direct
0.000 0.000 0.000 P
0.678 0.357 0.714 Ir
0.592 0.184 0.229 C

---

# 8
PIr2C | the Alexandria database | PBE | optimized geometry; E_tot = -64.24 eV for the cell shown; relative energy among the computed polymorphs = 0 meV per atom; E_form = 0.059 eV per atom; space-group type = I-42d (122)
1.0
-2.454 2.454 4.972
2.454 -2.454 4.972
2.454 2.454 -4.972
P Ir C
2 4 2
Direct
0.000 0.000 0.000 P
0.750 0.250 0.500 P
0.175 0.625 0.050 Ir
0.375 0.425 0.550 Ir
0.575 0.125 0.950 Ir
0.875 0.825 0.450 Ir
0.250 0.750 0.500 C
0.500 0.500 0.000 C

---

In g/cm³, the theoretical density values for the records above are, in order, 15.054; 10.361; 15.337; 9.859; 10.309; 9.434; 9.455; 11.852.